[1]
A geometry-optimized Pr2Ga3Cu4Rh structure, computed with PBE.

Properties
energy of formation	-0.39	eV/atom
crystal system	tetragonal
total magnetization	0.00	Bohr magnetons per cell
VASP energy	-4.625	eV per atom

abc: 4.153 4.153 10.476
angles: 90.00 90.00 90.00
Atoms (fractional coordinates):
Pr (0.000, 0.500, 0.245)
Pr (0.500, 0.000, 0.755)
Ga (0.000, 0.000, 0.000)
Ga (0.000, 0.500, 0.626)
Ga (0.500, 0.000, 0.374)
Cu (0.000, 0.000, 0.500)
Cu (0.000, 0.500, 0.860)
Cu (0.500, 0.000, 0.140)
Cu (0.500, 0.500, 0.500)
Rh (0.500, 0.500, 0.000)

=====

[2]
A geometry-optimized Ba3Sr2Bi4 structure, computed with PBE.

Properties
energy of formation	-0.83	eV/atom
crystal system	monoclinic
total magnetization	0.00	Bohr magnetons per cell
VASP energy	-3.568	eV per atom

abc: 9.704 9.704 7.605
angles: 104.44 104.44 33.71
Atoms (fractional coordinates):
Ba (0.000, 0.000, 0.000)
Ba (0.131, 0.131, 0.574)
Ba (0.869, 0.869, 0.426)
Sr (0.339, 0.339, 0.941)
Sr (0.661, 0.661, 0.059)
Bi (0.232, 0.232, 0.241)
Bi (0.496, 0.496, 0.707)
Bi (0.504, 0.504, 0.293)
Bi (0.768, 0.768, 0.759)

=====

[3]
A geometry-optimized TiF5 structure, computed with PBE.

Properties
crystal system	tetragonal
total magnetization	2.04	Bohr magnetons per cell
VASP energy	-5.493	eV per atom
uncorrected formation energy	-2.6181	eV per atom

abc: 6.647 6.647 3.927
angles: 90.00 90.00 90.00
Atoms (fractional coordinates):
Ti (0.000, 0.000, 0.000)
Ti (0.500, 0.500, 0.500)
F (0.000, 0.000, 0.500)
F (0.094, 0.737, 0.000)
F (0.237, 0.406, 0.500)
F (0.263, 0.094, 0.000)
F (0.406, 0.763, 0.500)
F (0.500, 0.500, 0.000)
F (0.594, 0.237, 0.500)
F (0.737, 0.906, 0.000)
F (0.763, 0.594, 0.500)
F (0.906, 0.263, 0.000)

=====

[4]
A geometry-optimized K3Dy3BiSe8 structure, computed with PBE.

Properties
crystal system	trigonal
total magnetization	0.00	Bohr magnetons per cell
VASP energy	-4.693	eV per atom
uncorrected formation energy	-1.4357	eV per atom

abc: 9.201 9.201 9.201
angles: 53.97 53.97 53.97
Atoms (fractional coordinates):
K (0.000, 0.500, 0.500)
K (0.500, 0.000, 0.500)
K (0.500, 0.500, 0.000)
Dy (0.000, 0.000, 0.500)
Dy (0.000, 0.500, 0.000)
Dy (0.500, 0.000, 0.000)
Bi (0.500, 0.500, 0.500)
Se (0.231, 0.737, 0.737)
Se (0.235, 0.235, 0.235)
Se (0.263, 0.263, 0.769)
Se (0.263, 0.769, 0.263)
Se (0.737, 0.231, 0.737)
Se (0.737, 0.737, 0.231)
Se (0.765, 0.765, 0.765)
Se (0.769, 0.263, 0.263)

=====

[5]
A geometry-optimized CrNiPd2 structure, computed with PBE.

Properties
energy of formation	0.22	eV/atom
crystal system	cubic
total magnetization	0.00	Bohr magnetons per cell
VASP energy	-6.226	eV per atom

abc: 5.995 5.995 5.995
angles: 90.00 90.00 90.00
Atoms (fractional coordinates):
Cr (0.000, 0.000, 0.000)
Cr (0.000, 0.500, 0.500)
Cr (0.500, 0.000, 0.500)
Cr (0.500, 0.500, 0.000)
Ni (0.000, 0.000, 0.500)
Ni (0.000, 0.500, 0.000)
Ni (0.500, 0.000, 0.000)
Ni (0.500, 0.500, 0.500)
Pd (0.250, 0.250, 0.250)
Pd (0.250, 0.250, 0.750)
Pd (0.250, 0.750, 0.250)
Pd (0.250, 0.750, 0.750)
Pd (0.750, 0.250, 0.250)
Pd (0.750, 0.250, 0.750)
Pd (0.750, 0.750, 0.250)
Pd (0.750, 0.750, 0.750)

=====

[6]
A geometry-optimized Y2TcCO structure, computed with PBE.

Properties
ΔE to the lowest computed polymorph	820	meV/atom
crystal system	tetragonal
total magnetization	0.91	Bohr magnetons per cell
VASP energy	-7.021	eV per atom
uncorrected formation energy	0.4747	eV per atom

abc: 4.982 4.982 3.447
angles: 90.00 90.00 90.00
Atoms (fractional coordinates):
Y (0.000, 0.500, 0.000)
Y (0.500, 0.000, 0.000)
Tc (0.000, 0.000, 0.500)
C (0.500, 0.500, 0.000)
O (0.500, 0.500, 0.500)

=====

[7]
A geometry-optimized PaSnOsPd structure, computed with PBE.

Properties
energy of formation	-0.27	eV/atom
crystal system	cubic
total magnetization	0.00	Bohr magnetons per cell
VASP energy	-7.749	eV per atom

abc: 6.811 6.811 6.811
angles: 90.00 90.00 90.00
Atoms (fractional coordinates):
Pa (0.000, 0.000, 0.000)
Pa (0.000, 0.500, 0.500)
Pa (0.500, 0.000, 0.500)
Pa (0.500, 0.500, 0.000)
Sn (0.000, 0.000, 0.500)
Sn (0.000, 0.500, 0.000)
Sn (0.500, 0.000, 0.000)
Sn (0.500, 0.500, 0.500)
Os (0.250, 0.250, 0.250)
Os (0.250, 0.750, 0.750)
Os (0.750, 0.250, 0.750)
Os (0.750, 0.750, 0.250)
Pd (0.250, 0.250, 0.750)
Pd (0.250, 0.750, 0.250)
Pd (0.750, 0.250, 0.250)
Pd (0.750, 0.750, 0.750)

=====

[8]
A geometry-optimized CoNiCl2 structure, computed with PBE.

Properties
ΔE to the lowest computed polymorph	392	meV/atom
crystal system	monoclinic
total magnetization	5.30	Bohr magnetons per cell
VASP energy	-3.906	eV per atom
uncorrected formation energy	0.2391	eV per atom

abc: 6.345 6.971 3.496
angles: 90.00 117.30 90.00
Atoms (fractional coordinates):
Co (0.000, 0.000, 0.000)
Co (0.500, 0.500, 0.000)
Ni (0.000, 0.500, 0.000)
Ni (0.500, 0.000, 0.000)
Cl (0.250, 0.250, 0.000)
Cl (0.250, 0.750, 0.000)
Cl (0.750, 0.250, 0.000)
Cl (0.750, 0.750, 0.000)

=====

[9]
A geometry-optimized CeCdBr5 structure, computed with PBE.

Properties
crystal system	monoclinic
total magnetization	2.00	Bohr magnetons per cell
VASP energy	-3.525	eV per atom
uncorrected formation energy	-1.3515	eV per atom

abc: 7.715 7.715 11.177
angles: 111.10 111.10 86.00
Atoms (fractional coordinates):
Ce (0.000, 0.500, 0.000)
Ce (0.500, 0.000, 0.500)
Cd (0.139, 0.861, 0.750)
Cd (0.861, 0.139, 0.250)
Br (0.157, 0.198, 0.474)
Br (0.185, 0.575, 0.836)
Br (0.198, 0.157, 0.974)
Br (0.319, 0.681, 0.250)
Br (0.425, 0.815, 0.664)
Br (0.575, 0.185, 0.336)
Br (0.681, 0.319, 0.750)
Br (0.802, 0.843, 0.026)
Br (0.815, 0.425, 0.164)
Br (0.843, 0.802, 0.526)

=====

[10]
A geometry-optimized CaTa structure, computed with PBE.

Properties
energy of formation	0.81	eV/atom
ΔE to the lowest computed polymorph	452	meV/atom
crystal system	hexagonal
total magnetization	0.00	Bohr magnetons per cell
VASP energy	-6.118	eV per atom

abc: 3.114 3.114 5.575
angles: 90.00 90.00 120.00
Atoms (fractional coordinates):
Ca (0.000, 0.000, 0.000)
Ta (0.667, 0.333, 0.500)

=====

[11]
A geometry-optimized LaPuBeO6 structure, computed with PBE.

Properties
crystal system	trigonal
total magnetization	1.00	Bohr magnetons per cell
VASP energy	-8.443	eV per atom
uncorrected formation energy	-2.5837	eV per atom

abc: 5.091 5.091 5.347
angles: 90.00 90.00 120.00
Atoms (fractional coordinates):
La (0.000, 0.000, 0.000)
Pu (0.333, 0.667, 0.500)
Be (0.667, 0.333, 0.500)
O (0.373, 0.016, 0.705)
O (0.373, 0.358, 0.295)
O (0.642, 0.016, 0.295)
O (0.642, 0.627, 0.705)
O (0.984, 0.358, 0.705)
O (0.984, 0.627, 0.295)

=====

[12]
A geometry-optimized HRuCl3 structure, computed with PBE.

Properties
ΔE to the lowest computed polymorph	0	meV/atom
crystal system	cubic
total magnetization	3.49	Bohr magnetons per cell
VASP energy	-3.343	eV per atom

abc: 4.813 4.813 4.813
angles: 90.00 90.00 90.00
Atoms (fractional coordinates):
H (0.000, 0.000, 0.000)
Ru (0.500, 0.500, 0.500)
Cl (0.000, 0.500, 0.500)
Cl (0.500, 0.000, 0.500)
Cl (0.500, 0.500, 0.000)